Pm2BeIn GGA-PBE optimized geometry; raw total energy = -65.20 eV for the cell shown; Fermi-level density of states = 4.933 states/eV/f.u.; polymorph energy (0 for the lowest one) = 0.074 eV per atom
1.0
7.4345 0.0000 0.0000
0.0000 7.4345 0.0000
0.0000 0.0000 7.4345
Pm Be In
8 4 4
Cartesian
1.8586 1.8586 1.8586
1.8586 1.8586 5.5759
1.8586 5.5759 1.8586
1.8586 5.5759 5.5759
5.5759 1.8586 1.8586
5.5759 1.8586 5.5759
5.5759 5.5759 1.8586
5.5759 5.5759 5.5759
0.0000 0.0000 0.0000
0.0000 3.7172 3.7172
3.7172 0.0000 3.7172
3.7172 3.7172 0.0000
0.0000 0.0000 3.7172
0.0000 3.7172 0.0000
3.7172 0.0000 0.0000
3.7172 3.7172 3.7172